1.
Here is a relaxed structure of Ce2PdPt from Alexandria. Energies are from PBE-GGA.

Geometry as POSCAR:
```
Ce2PdPt
1.0
-3.632 -1.318 -1.387
-0.159 -2.814 -2.985
-1.250 -6.472 3.346
Pt Ce Pd
1 2 1
Cartesian
-2.528 -2.760 -2.910
-1.253 -5.265 2.208
-1.260 -2.595 -0.309
-2.521 -5.286 -0.528
```

Values from the calculation:
raw total energy: -26.1 eV for the cell shown
space group: No. 160

2.
Here is a relaxed structure of Ce6PdPt from Alexandria. Energies are from PBE-GGA.

Geometry as POSCAR:
```
Ce6PdPt
1.0
-6.255 5.220 1.027
-7.623 0.687 3.023
0.326 1.978 4.716
Ce Pd Pt
6 1 1
Cartesian
-1.483 1.442 2.282
-3.682 2.812 4.643
-5.292 2.517 2.094
-12.069 6.443 6.484
-9.870 5.073 4.122
-8.260 5.368 6.672
0.000 0.000 0.000
-6.776 3.943 4.383
```

Values from the calculation:
raw total energy: -49.8 eV for the cell shown
space group: No. 12

3.
Here is a relaxed structure of Ce2PdPt from Alexandria. Energies are from PBE-GGA.

Geometry as POSCAR:
```
Ce2PdPt
1.0
3.024 0.000 0.000
1.512 2.619 0.000
1.512 0.873 10.412
Pd Ce Pt
1 2 1
Cartesian
0.000 0.000 0.000
1.512 0.873 7.732
4.536 2.619 2.680
3.024 1.746 5.206
```

Values from the calculation:
raw total energy: -24.2 eV for the cell shown
space group: No. 166

Number 1: magnetic moment 1.3 Bohr magnetons per cell. Number 2: magnetic moment 0.0 Bohr magnetons per cell. Number 3: magnetic moment 0.0 Bohr magnetons per cell.